w) This record from Alexandria via LeMat-Bulk describes YTl2In2 after structural relaxation. The functional is PBE.

Lattice parameters (Å, degrees): 8.447 8.447 3.945 90.00 90.00 90.00
Atoms (fractional coordinates):
Y (0.000, 0.000, 0.000)
Y (0.500, 0.500, 0.000)
Tl (0.174, 0.326, 0.500)
Tl (0.326, 0.826, 0.500)
Tl (0.674, 0.174, 0.500)
Tl (0.826, 0.674, 0.500)
In (0.127, 0.627, 0.000)
In (0.373, 0.127, 0.000)
In (0.627, 0.873, 0.000)
In (0.873, 0.373, 0.000)

SG: No. 127

---

x) This record from Alexandria via LeMat-Bulk describes YTl2In2 after structural relaxation. The functional is PBE.

Lattice parameters (Å, degrees): 8.538 8.538 3.842 90.00 90.00 90.00
Atoms (fractional coordinates):
Y (0.000, 0.000, 0.000)
Y (0.500, 0.500, 0.000)
Tl (0.135, 0.365, 0.000)
Tl (0.365, 0.865, 0.000)
Tl (0.635, 0.135, 0.000)
Tl (0.865, 0.635, 0.000)
In (0.165, 0.665, 0.500)
In (0.335, 0.165, 0.500)
In (0.665, 0.835, 0.500)
In (0.835, 0.335, 0.500)

SG: No. 127

---

Which one is most stable, and which one is least stable? w) is the most stable of them, while x) is the least stable.

---

w) This record from Alexandria via LeMat-Bulk describes Y4TlIn after structural relaxation. The functional is PBE.

Lattice parameters (Å, degrees): 8.990 8.990 8.990 33.59 33.59 33.59
Atoms (fractional coordinates):
Y (0.125, 0.125, 0.125)
Y (0.374, 0.374, 0.374)
Y (0.626, 0.626, 0.626)
Y (0.875, 0.875, 0.875)
Tl (0.500, 0.500, 0.500)
In (0.000, 0.000, 0.000)

SG: No. 166

---

x) This record from Alexandria via LeMat-Bulk describes Y4TlIn after structural relaxation. The functional is PBE.

Lattice parameters (Å, degrees): 3.748 5.727 8.719 90.00 90.00 90.00
Atoms (fractional coordinates):
Y (0.000, 0.000, 0.203)
Y (0.000, 0.000, 0.797)
Y (0.500, 0.500, 0.295)
Y (0.500, 0.500, 0.705)
Tl (0.500, 0.000, 0.500)
In (0.000, 0.500, 0.000)

SG: No. 47

---

y) This record from Alexandria via LeMat-Bulk describes Y4TlIn after structural relaxation. The functional is PBE.

Lattice parameters (Å, degrees): 6.366 6.366 6.366 60.00 60.00 60.00
Atoms (fractional coordinates):
Y (0.125, 0.125, 0.125)
Y (0.125, 0.125, 0.626)
Y (0.125, 0.626, 0.125)
Y (0.626, 0.125, 0.125)
Tl (0.500, 0.500, 0.500)
In (0.750, 0.750, 0.750)

SG: No. 216

---

Which one is most stable, and which one is least stable? w) is the most stable of them, while y) is the least stable.

---

w) This record from Alexandria via LeMat-Bulk describes Y6TlIn after structural relaxation. The functional is PBE.

Lattice parameters (Å, degrees): 4.867 4.867 9.742 90.00 90.00 90.00
Atoms (fractional coordinates):
Y (0.000, 0.000, 0.000)
Y (0.000, 0.000, 0.500)
Y (0.000, 0.500, 0.249)
Y (0.000, 0.500, 0.751)
Y (0.500, 0.000, 0.249)
Y (0.500, 0.000, 0.751)
Tl (0.500, 0.500, 0.500)
In (0.500, 0.500, 0.000)

SG: No. 123

---

x) This record from Alexandria via LeMat-Bulk describes Y6TlIn after structural relaxation. The functional is PBE.

Lattice parameters (Å, degrees): 6.149 6.149 6.149 89.99 89.99 89.99
Atoms (fractional coordinates):
Y (0.001, 0.250, 0.500)
Y (0.250, 0.500, 0.001)
Y (0.500, 0.001, 0.250)
Y (0.500, 0.999, 0.750)
Y (0.750, 0.500, 0.999)
Y (0.999, 0.750, 0.500)
Tl (0.000, 0.000, 0.000)
In (0.500, 0.500, 0.500)

SG: No. 148

---

Which one is most stable, and which one is least stable? w) is the most stable of them, while x) is the least stable.

---

w) This record from Alexandria via LeMat-Bulk describes Y3TlIn after structural relaxation. The functional is PBE.

Lattice parameters (Å, degrees): 11.394 11.394 5.055 90.00 90.00 154.37
Atoms (fractional coordinates):
Y (0.058, 0.942, 0.750)
Y (0.250, 0.750, 0.750)
Y (0.441, 0.559, 0.750)
Y (0.559, 0.441, 0.250)
Y (0.750, 0.250, 0.250)
Y (0.942, 0.058, 0.250)
Tl (0.346, 0.654, 0.250)
Tl (0.654, 0.346, 0.750)
In (0.154, 0.846, 0.250)
In (0.846, 0.154, 0.750)

SG: No. 63

---

x) This record from Alexandria via LeMat-Bulk describes Y3TlIn after structural relaxation. The functional is PBE.

Lattice parameters (Å, degrees): 5.160 6.577 9.451 90.52 90.09 113.06
Atoms (fractional coordinates):
Y (0.095, 0.188, 0.340)
Y (0.142, 0.285, 0.938)
Y (0.403, 0.804, 0.355)
Y (0.597, 0.196, 0.645)
Y (0.858, 0.715, 0.062)
Y (0.905, 0.812, 0.660)
Tl (0.245, 0.493, 0.634)
Tl (0.755, 0.507, 0.366)
In (0.415, 0.831, 0.882)
In (0.585, 0.169, 0.118)

SG: No. 2

---

Which one is most stable, and which one is least stable? w) is the most stable of them, while x) is the least stable.

---

w) This record from Alexandria via LeMat-Bulk describes TlZn2In2 after structural relaxation. The functional is PBE.

Lattice parameters (Å, degrees): 4.461 4.461 12.281 90.00 90.00 90.00
Atoms (fractional coordinates):
Tl (0.000, 0.000, 0.000)
Tl (0.500, 0.500, 0.500)
Zn (0.000, 0.000, 0.399)
Zn (0.000, 0.000, 0.601)
Zn (0.500, 0.500, 0.101)
Zn (0.500, 0.500, 0.899)
In (0.000, 0.500, 0.250)
In (0.000, 0.500, 0.750)
In (0.500, 0.000, 0.250)
In (0.500, 0.000, 0.750)

SG: No. 139

---

x) This record from Alexandria via LeMat-Bulk describes TlZn2In2 after structural relaxation. The functional is PBE.

Lattice parameters (Å, degrees): 8.300 8.300 3.424 90.00 90.00 90.00
Atoms (fractional coordinates):
Tl (0.000, 0.000, 0.000)
Tl (0.500, 0.500, 0.000)
Zn (0.114, 0.386, 0.000)
Zn (0.386, 0.886, 0.000)
Zn (0.614, 0.114, 0.000)
Zn (0.886, 0.614, 0.000)
In (0.181, 0.681, 0.500)
In (0.319, 0.181, 0.500)
In (0.681, 0.819, 0.500)
In (0.819, 0.319, 0.500)

SG: No. 127

---

Which one is most stable, and which one is least stable? w) is the most stable of them, while x) is the least stable.

---

w) This record from Alexandria via LeMat-Bulk describes TlZn2In2 after structural relaxation. The functional is PBE.

Lattice parameters (Å, degrees): 4.330 4.330 13.056 90.00 90.00 90.00
Atoms (fractional coordinates):
Tl (0.000, 0.000, 0.000)
Tl (0.500, 0.500, 0.500)
Zn (0.000, 0.500, 0.250)
Zn (0.000, 0.500, 0.750)
Zn (0.500, 0.000, 0.250)
Zn (0.500, 0.000, 0.750)
In (0.000, 0.000, 0.387)
In (0.000, 0.000, 0.613)
In (0.500, 0.500, 0.113)
In (0.500, 0.500, 0.887)

SG: No. 139

---

x) This record from Alexandria via LeMat-Bulk describes TlZn2In2 after structural relaxation. The functional is PBE.

Lattice parameters (Å, degrees): 8.687 8.687 3.158 90.00 90.00 90.00
Atoms (fractional coordinates):
Tl (0.000, 0.000, 0.000)
Tl (0.500, 0.500, 0.000)
Zn (0.158, 0.342, 0.500)
Zn (0.342, 0.842, 0.500)
Zn (0.658, 0.158, 0.500)
Zn (0.842, 0.658, 0.500)
In (0.137, 0.637, 0.000)
In (0.363, 0.137, 0.000)
In (0.637, 0.863, 0.000)
In (0.863, 0.363, 0.000)

SG: No. 127

---

Which one is most stable, and which one is least stable? w) is the most stable of them, while x) is the least stable.